3
Lattice="0.000 3.957 3.957 3.957 0.000 3.957 3.957 3.957 0.000" Properties=species:S:1:pos:R:3 comment="BaLaTh (GGA-PBE, optimized geometry)" energy_ev_per_atom=-3.71 spacegroup="F-43m (216)" total_magnetization_mub_per_cell=0.96 vol_a3_per_atom=41.30 pbc="T T T"
Ba 0.000 0.000 0.000
La 5.935 5.935 5.935
Th 1.978 1.978 1.978



3
Lattice="0.000 4.080 4.080 4.080 0.000 4.080 4.080 4.080 0.000" Properties=species:S:1:pos:R:3 comment="BaLaU (GGA-PBE, optimized geometry)" energy_ev_per_atom=-4.60 spacegroup="F-43m (216)" total_magnetization_mub_per_cell=6.47 vol_a3_per_atom=45.27 pbc="T T T"
Ba 0.000 0.000 0.000
La 4.080 4.080 4.080
U 2.040 2.040 2.040



3
Lattice="0.000 3.696 3.696 3.696 0.000 3.696 3.696 3.696 0.000" Properties=species:S:1:pos:R:3 comment="BaLaW (GGA-PBE, optimized geometry)" energy_ev_per_atom=-5.35 spacegroup="F-43m (216)" total_magnetization_mub_per_cell=1.27 vol_a3_per_atom=33.67 pbc="T T T"
Ba 0.000 0.000 0.000
La 3.696 3.696 3.696
W 1.848 1.848 1.848



6
Lattice="-2.357 3.914 3.925 2.357 -3.914 3.925 2.357 3.914 -3.925" Properties=species:S:1:pos:R:3 comment="BaLaZn4 (GGA-PBE, optimized geometry)" energy_ev_per_atom=-2.23 spacegroup="Imm2 (44)" total_magnetization_mub_per_cell=0.01 vol_a3_per_atom=24.14 pbc="T T T"
Ba 0.000 0.000 0.000
La 0.000 3.914 0.651
Zn 2.357 -1.550 1.688
Zn 2.357 2.515 -0.914
Zn 2.357 1.550 1.688
Zn 0.000 1.399 3.011



12
Lattice="8.707 0.000 0.000 0.000 4.210 0.000 -2.600 0.000 8.920" Properties=species:S:1:pos:R:3 comment="BaLiLuSe3 (GGA-PBE, optimized geometry)" energy_ev_per_atom=-4.93 spacegroup="P2_1/m (11)" total_magnetization_mub_per_cell=0.00 vol_a3_per_atom=27.25 pbc="T T T"
Ba 1.136 1.052 2.227
Ba 4.971 3.157 6.694
Li -0.795 1.052 5.287
Li 6.902 3.157 3.634
Lu 0.627 3.157 7.540
Lu 5.480 1.052 1.381
Se -1.284 1.052 7.756
Se 0.518 3.157 4.742
Se 3.552 3.157 1.434
Se 2.555 1.052 7.487
Se 5.589 1.052 4.179
Se 7.391 3.157 1.164



12
Lattice="2.108 -7.016 0.000 2.108 7.016 0.000 0.000 0.000 10.563" Properties=species:S:1:pos:R:3 comment="BaLiLuSe3 (GGA-PBE, optimized geometry)" energy_ev_per_atom=-4.95 spacegroup="Cmcm (63)" total_magnetization_mub_per_cell=0.03 vol_a3_per_atom=26.04 pbc="T T T"
Ba 2.108 3.556 7.922
Ba 2.108 -3.556 2.641
Li 2.108 6.607 2.641
Li 2.108 -6.607 7.922
Lu 2.108 0.000 0.000
Lu 2.108 0.000 5.282
Se 2.108 5.171 0.585
Se 2.108 5.171 4.697
Se 2.108 0.949 2.641
Se 2.108 -0.949 7.922
Se 2.108 -5.171 5.867
Se 2.108 -5.171 9.978



24
Lattice="14.314 0.000 0.000 0.000 4.213 0.000 0.000 0.000 10.746" Properties=species:S:1:pos:R:3 comment="BaLiLuSe3 (GGA-PBE, optimized geometry)" energy_ev_per_atom=-4.93 spacegroup="Pnma (62)" total_magnetization_mub_per_cell=0.03 vol_a3_per_atom=27.00 pbc="T T T"
Ba 3.270 1.053 0.366
Ba 3.887 3.160 5.739
Ba 10.427 1.053 5.007
Ba 11.045 3.160 10.380
Li 0.098 3.160 1.000
Li 7.060 1.053 6.373
Li 7.255 3.160 4.373
Li 14.217 1.053 9.746
Lu 0.247 1.053 3.615
Lu 6.910 3.160 8.988
Lu 7.404 1.053 1.758
Lu 14.068 3.160 7.131
Se 1.289 3.160 9.475
Se 1.420 1.053 6.150
Se 1.958 3.160 2.741
Se 5.200 1.053 8.114
Se 5.737 3.160 0.777
Se 5.868 1.053 4.101
Se 8.447 3.160 6.645
Se 8.577 1.053 9.969
Se 9.115 3.160 2.632
Se 12.357 1.053 8.006
Se 12.895 3.160 4.596
Se 13.025 1.053 1.272



20
Lattice="5.571 -2.831 0.000 5.571 2.831 0.000 -5.139 0.000 9.613" Properties=species:S:1:pos:R:3 comment="Ba2Li3MoN4 (GGA-PBE, optimized geometry)" energy_ev_per_atom=-6.01 spacegroup="C2/c (15)" total_magnetization_mub_per_cell=0.03 vol_a3_per_atom=15.16 pbc="T T T"
Ba -0.738 1.605 8.569
Ba 4.171 1.605 5.850
Ba 1.831 -1.605 3.763
Ba 6.741 -1.605 1.044
Li 1.245 1.173 4.400
Li 1.717 0.680 7.209
Li 7.327 1.173 0.406
Li -1.324 -1.173 9.207
Li 4.286 -0.680 2.403
Li 4.757 -1.173 5.212
Mo 4.286 2.044 2.403
Mo 1.717 -2.044 7.209
N -0.461 0.432 3.660
N -3.031 -0.432 8.466
N 2.995 0.953 3.252
N 5.577 0.953 1.555
N 0.425 -0.953 8.058
N 3.008 -0.953 6.361
N 9.033 0.432 1.146
N 6.464 -0.432 5.953



56
Lattice="10.449 0.000 0.000 0.000 6.450 0.000 -7.939 0.000 15.358" Properties=species:S:1:pos:R:3 comment="Ba4LiMo2N7 (GGA-PBE, optimized geometry)" energy_ev_per_atom=-7.20 spacegroup="P2/c (13)" total_magnetization_mub_per_cell=0.01 vol_a3_per_atom=18.48 pbc="T T T"
Ba -1.985 0.062 3.840
Ba -5.954 6.388 11.519
Ba -2.872 0.983 9.534
Ba 1.098 5.467 1.855
Ba -5.322 1.816 15.128
Ba -1.352 4.635 7.449
Ba 0.242 1.461 6.517
Ba -3.727 4.990 14.196
Ba 3.240 1.977 3.840
Ba -0.730 4.473 11.519
Ba 6.238 1.461 1.162
Ba 2.268 4.990 8.841
Ba 3.863 1.816 7.909
Ba 7.832 4.635 0.230
Ba 1.413 0.983 13.504
Ba 5.382 5.467 5.824
Li -4.599 2.982 11.674
Li -0.630 3.469 3.995
Li 3.140 2.982 11.363
Li 7.110 3.469 3.684
Mo -0.581 2.127 1.520
Mo -4.551 4.323 9.199
Mo -1.986 1.473 13.001
Mo 1.983 4.977 5.322
Mo 0.527 1.473 10.036
Mo 4.496 4.977 2.357
Mo 7.061 2.127 6.159
Mo 3.092 4.323 13.838
N 0.000 3.225 0.000
N -3.969 3.225 7.679
N -2.045 3.066 5.318
N -6.014 3.385 12.997
N -2.668 0.481 6.658
N -6.638 5.969 14.337
N 0.785 1.820 2.722
N -3.184 4.630 10.401
N -3.738 1.184 12.413
N 0.232 5.266 4.734
N -0.012 0.075 8.943
N 3.958 6.375 1.264
N 0.328 3.035 9.061
N 4.298 3.415 1.382
N -0.730 1.571 11.519
N 3.240 4.879 3.840
N -1.788 3.035 13.976
N 2.182 3.415 6.297
N -1.448 0.075 14.094
N 2.522 6.375 6.415
N 2.279 1.184 10.625
N 6.248 5.266 2.946
N 5.695 1.820 4.957
N 1.725 4.630 12.636
N 9.148 0.481 1.021
N 5.179 5.969 8.700
N 8.524 3.066 2.362
N 4.555 3.385 10.041



20
Lattice="5.497 -2.863 0.000 5.497 2.863 0.000 -5.107 0.000 9.557" Properties=species:S:1:pos:R:3 comment="Ba2Li3ReN4 (GGA-PBE, optimized geometry)" energy_ev_per_atom=-6.04 spacegroup="C2/c (15)" total_magnetization_mub_per_cell=0.09 vol_a3_per_atom=15.04 pbc="T T T"
Ba -0.793 1.630 8.542
Ba 4.127 1.630 5.794
Ba 1.760 -1.630 3.763
Ba 6.681 -1.630 1.015
Li 1.209 1.163 4.381
Li 1.667 0.706 7.168
Li 7.232 1.163 0.398
Li -1.344 -1.163 9.159
Li 4.220 -0.706 2.389
Li 4.678 -1.163 5.176
Re 4.220 2.008 2.389
Re 1.667 -2.008 7.168
N -0.517 0.479 3.607
N -3.070 -0.479 8.385
N 2.957 0.935 3.233
N 5.484 0.935 1.546
N 0.403 -0.935 8.011
N 2.931 -0.935 6.324
N 8.957 0.479 1.172
N 6.404 -0.479 5.950



10
Lattice="5.079 -2.932 0.000 5.079 2.932 0.000 -3.388 0.000 4.789" Properties=species:S:1:pos:R:3 comment="Ba2LiTcN6 (GGA-PBE, optimized geometry)" energy_ev_per_atom=-6.10 spacegroup="C2/m (12)" total_magnetization_mub_per_cell=0.03 vol_a3_per_atom=14.26 pbc="T T T"
Ba 1.693 0.000 1.197
Ba 5.077 0.000 3.591
Li -1.694 0.000 2.394
Tc 5.079 0.000 0.000
N 2.484 1.394 3.645
N 0.074 0.000 3.665
N 4.286 1.394 1.144
N 2.484 -1.394 3.645
N 6.697 0.000 1.123
N 4.286 -1.394 1.144



10
Lattice="-2.924 2.924 4.149 2.924 -2.924 4.149 2.924 2.924 -4.149" Properties=species:S:1:pos:R:3 comment="Ba2LiTcN6 (GGA-PBE, optimized geometry)" energy_ev_per_atom=-6.10 spacegroup="I4/mmm (139)" total_magnetization_mub_per_cell=0.06 vol_a3_per_atom=14.19 pbc="T T T"
Ba 2.924 0.000 2.075
Ba 0.000 2.924 2.075
Li 0.000 0.000 0.000
Tc 0.000 0.000 4.149
N 1.531 1.531 0.000
N 1.393 -1.393 4.149
N 0.000 0.000 2.180
N 0.000 0.000 6.119
N -1.393 1.393 4.149
N 1.393 1.393 4.149



10
Lattice="-2.931 2.931 4.147 2.931 -2.931 4.147 2.931 2.931 -4.147" Properties=species:S:1:pos:R:3 comment="Ba2LiTcN6 (GGA-PBE, optimized geometry)" energy_ev_per_atom=-6.10 spacegroup="I4/m (87)" total_magnetization_mub_per_cell=0.04 vol_a3_per_atom=14.25 pbc="T T T"
Ba 2.931 0.000 2.074
Ba 0.000 2.931 2.074
Li 0.000 0.000 0.000
Tc 0.000 0.000 4.147
N 1.553 1.526 0.000
N 0.000 0.000 2.177
N 1.405 -1.378 4.147
N 1.526 4.310 0.000
N 0.000 0.000 6.118
N 1.378 1.405 4.147



16
Lattice="4.121 -6.676 0.000 4.121 6.676 0.000 -1.276 0.000 6.524" Properties=species:S:1:pos:R:3 comment="Ba2LiTm2N3 (GGA-PBE, optimized geometry)" energy_ev_per_atom=-5.63 spacegroup="C2/c (15)" total_magnetization_mub_per_cell=0.01 vol_a3_per_atom=22.43 pbc="T T T"
Ba 1.357 0.868 2.719
Ba 0.719 -0.868 5.981
Ba 6.246 0.868 0.543
Ba 5.608 -0.868 3.805
Li 3.801 4.686 1.631
Li 3.163 -4.686 4.893
Tm 2.007 2.554 6.217
Tm 4.320 2.554 3.569
Tm 2.645 -2.554 2.955
Tm 4.958 -2.554 0.307
N 1.235 1.862 0.076
N 0.597 -1.862 3.338
N 3.163 1.239 4.893
N 3.801 -1.239 1.631
N 6.367 1.862 3.186
N 5.729 -1.862 6.448



56
Lattice="10.466 0.000 0.000 0.000 6.487 0.000 -7.974 0.000 15.418" Properties=species:S:1:pos:R:3 comment="Ba4LiW2N7 (GGA-PBE, optimized geometry)" energy_ev_per_atom=-7.58 spacegroup="P2/c (13)" total_magnetization_mub_per_cell=0.01 vol_a3_per_atom=18.69 pbc="T T T"
Ba -1.994 0.072 3.855
Ba -5.981 6.415 11.564
Ba -2.895 0.958 9.570
Ba 1.092 5.529 1.861
Ba -5.325 1.813 15.177
Ba -1.338 4.675 7.468
Ba 0.238 1.478 6.551
Ba -3.750 5.009 14.261
Ba 3.239 1.991 3.855
Ba -0.748 4.497 11.564
Ba 6.241 1.478 1.158
Ba 2.254 5.009 8.867
Ba 3.830 1.813 7.951
Ba 7.817 4.675 0.241
Ba 1.400 0.958 13.558
Ba 5.387 5.529 5.849
Li -4.647 3.000 11.728
Li -0.660 3.487 4.019
Li 3.152 3.000 11.399
Li 7.139 3.487 3.690
W -0.583 2.143 1.512
W -4.571 4.344 9.221
W -2.008 1.482 13.040
W 1.979 5.005 5.331
W 0.513 1.482 10.087
W 4.500 5.005 2.378
W 7.062 2.143 6.197
W 3.075 4.344 13.907
N 0.000 3.244 0.000
N -3.987 3.244 7.709
N -2.046 3.070 5.348
N -6.034 3.417 13.057
N -2.678 0.489 6.695
N -6.665 5.998 14.404
N 0.792 1.814 2.715
N -3.196 4.673 10.424
N -3.763 1.202 12.439
N 0.224 5.285 4.730
N -0.012 0.075 8.982
N 3.975 6.413 1.273
N 0.318 3.052 9.104
N 4.306 3.435 1.395
N -0.748 1.572 11.564
N 3.239 4.916 3.855
N -1.814 3.052 14.023
N 2.173 3.435 6.314
N -1.483 0.075 14.145
N 2.504 6.413 6.436
N 2.268 1.202 10.689
N 6.255 5.285 2.979
N 5.687 1.814 4.994
N 1.700 4.673 12.704
N 9.156 0.489 1.014
N 5.169 5.998 8.723
N 8.525 3.070 2.361
N 4.538 3.417 10.071



3
Lattice="0.000 3.748 3.748 3.748 0.000 3.748 3.748 3.748 0.000" Properties=species:S:1:pos:R:3 comment="BaLiNb (GGA-PBE, optimized geometry)" energy_ev_per_atom=-3.28 spacegroup="F-43m (216)" total_magnetization_mub_per_cell=4.00 vol_a3_per_atom=35.11 pbc="T T T"
Ba 0.000 0.000 0.000
Li 3.748 3.748 3.748
Nb 1.874 1.874 1.874



3
Lattice="0.000 3.808 3.808 3.808 0.000 3.808 3.808 3.808 0.000" Properties=species:S:1:pos:R:3 comment="BaLiNb (GGA-PBE, optimized geometry)" energy_ev_per_atom=-3.04 spacegroup="F-43m (216)" total_magnetization_mub_per_cell=4.23 vol_a3_per_atom=36.80 pbc="T T T"
Ba 0.000 0.000 0.000
Li 5.711 5.711 5.711
Nb 1.904 1.904 1.904



4
Lattice="0.000 3.676 3.676 3.676 0.000 3.676 3.676 3.676 0.000" Properties=species:S:1:pos:R:3 comment="BaLi2Nb (GGA-PBE, optimized geometry)" energy_ev_per_atom=-3.08 spacegroup="F-43m (216)" total_magnetization_mub_per_cell=2.36 vol_a3_per_atom=24.83 pbc="T T T"
Ba 0.000 0.000 0.000
Li 1.838 1.838 1.838
Li 3.676 3.676 3.676
Nb 5.514 5.514 5.514